Material: SmTlPd6
Method: DFT, PBE
State: relaxed

Cell lengths 5.5269, 5.5269, 5.5269 Å; angles 84.81, 84.81, 84.81 degrees
Closest atoms and distances in Å follow each position.
Element x y z (fractional)
Pd (0.8389, 0.4703, 0.8389)  5 Pd 2.69-2.91, 1 Tl 2.75, 1 Sm 2.77
Pd (0.1611, 0.1611, 0.5297)  5 Pd 2.69-2.91, 1 Tl 2.75, 1 Sm 2.77
Pd (0.8389, 0.8389, 0.4703)  5 Pd 2.69-2.91, 1 Tl 2.75, 1 Sm 2.77
Pd (0.1611, 0.5297, 0.1611)  5 Pd 2.69-2.91, 1 Tl 2.75, 1 Sm 2.77
Pd (0.5297, 0.1611, 0.1611)  5 Pd 2.69-2.91, 1 Tl 2.75, 1 Sm 2.77
Pd (0.4703, 0.8389, 0.8389)  5 Pd 2.69-2.91, 1 Tl 2.75, 1 Sm 2.77
Tl (0.5000, 0.5000, 0.5000)  6 Pd 2.75
Sm (0.0000, 0.0000, 0.0000)  6 Pd 2.77

Values from the calculation:
**Crystal system**: trigonal
**V**: 166.9 Å³ per cell
**Space-group type**: R-3m, No. 166
**Formation enthalpy at 0 K**: -0.064 eV/atom
**E**: -4.844 eV/atom
**Energy above the most stable polymorph in this dataset**: 443.3 meV/atom

=====

Material: SmTlPd6
Method: DFT, PBE
State: relaxed

Cell lengths 4.1348, 4.1348, 8.2573 Å; angles 90.00, 90.00, 90.00 degrees
Closest atoms and distances in Å follow each position.
Element x y z (fractional)
Pd (0.5000, 0.5000, 0.5000)  8 Pd 2.89, 4 Tl 2.92
Pd (0.5000, 0.0000, 0.2557)  2 Tl 2.89, 8 Pd 2.89-2.95, 2 Sm 2.95
Pd (0.0000, 0.5000, 0.2557)  2 Tl 2.89, 8 Pd 2.89-2.95, 2 Sm 2.95
Pd (0.5000, 0.0000, 0.7443)  8 Pd 2.89-2.95, 2 Tl 2.89, 2 Sm 2.95
Pd (0.5000, 0.5000, 0.0000)  4 Sm 2.92, 8 Pd 2.95
Pd (0.0000, 0.5000, 0.7443)  8 Pd 2.89-2.95, 2 Tl 2.89, 2 Sm 2.95
Tl (0.0000, 0.0000, 0.5000)  12 Pd 2.89-2.92
Sm (0.0000, 0.0000, 0.0000)  12 Pd 2.92-2.95

Values from the calculation:
**Crystal system**: tetragonal
**V**: 141.2 Å³ per cell
**Space-group type**: P4/mmm, No. 123
**Formation enthalpy at 0 K**: -0.507 eV/atom
**E**: -5.288 eV/atom
**Energy above the most stable polymorph in this dataset**: 0.0 meV/atom

=====

Material: Sm2TlPd9
Method: DFT, PBE
State: relaxed

Cell lengths 4.1615, 4.1615, 12.3482 Å; angles 90.00, 90.00, 90.00 degrees
Closest atoms and distances in Å follow each position.
Element x y z (fractional)
Pd (0.5000, 0.0000, 0.8382)  2 Tl 2.88, 8 Pd 2.88-2.95, 2 Sm 2.93
Pd (0.5000, 0.5000, 0.6686)  4 Sm 2.94, 8 Pd 2.94-2.95
Pd (0.5000, 0.5000, 0.3314)  4 Sm 2.94, 8 Pd 2.94-2.95
Pd (0.0000, 0.5000, 0.5000)  8 Pd 2.94, 4 Sm 2.96
Pd (0.0000, 0.5000, 0.1618)  8 Pd 2.88-2.95, 2 Tl 2.88, 2 Sm 2.93
Pd (0.5000, 0.5000, 0.0000)  8 Pd 2.88, 4 Tl 2.94
Pd (0.5000, 0.0000, 0.1618)  8 Pd 2.88-2.95, 2 Tl 2.88, 2 Sm 2.93
Pd (0.5000, 0.0000, 0.5000)  8 Pd 2.94, 4 Sm 2.96
Pd (0.0000, 0.5000, 0.8382)  2 Tl 2.88, 8 Pd 2.88-2.95, 2 Sm 2.93
Sm (0.0000, 0.0000, 0.6705)  12 Pd 2.93-2.96
Sm (0.0000, 0.0000, 0.3295)  12 Pd 2.93-2.96
Tl (0.0000, 0.0000, 0.0000)  12 Pd 2.88-2.94

Values from the calculation:
**Crystal system**: tetragonal
**V**: 213.8 Å³ per cell
**Space-group type**: P4/mmm, No. 123
**Formation enthalpy at 0 K**: -0.609 eV/atom
**E**: -5.487 eV/atom

=====

Material: SmTl6Pd12
Method: DFT, PBE
State: relaxed

Cell lengths 7.6437, 7.6437, 7.6437 Å; angles 105.44, 105.44, 105.44 degrees
Closest atoms and distances in Å follow each position.
Element x y z (fractional)
Pd (0.5000, 0.8866, 0.1134)  4 Tl 2.72-2.77, 3 Pd 2.76-2.84
Pd (0.3504, 0.1134, 0.3504)  4 Pd 2.84-2.88, 4 Tl 2.87-3.02, 1 Sm 2.97
Pd (0.5000, 0.1134, 0.8866)  4 Tl 2.72-2.77, 3 Pd 2.76-2.84
Pd (0.8866, 0.5000, 0.1134)  4 Tl 2.72-2.77, 3 Pd 2.76-2.84
Pd (0.1134, 0.3504, 0.3504)  4 Pd 2.84-2.88, 4 Tl 2.87-3.02, 1 Sm 2.97
Pd (0.6496, 0.8866, 0.6496)  4 Pd 2.84-2.88, 4 Tl 2.87-3.02, 1 Sm 2.97
Pd (0.8866, 0.1134, 0.5000)  4 Tl 2.72-2.77, 3 Pd 2.76-2.84
Pd (0.1134, 0.5000, 0.8866)  4 Tl 2.72-2.77, 3 Pd 2.76-2.84
Pd (0.8866, 0.6496, 0.6496)  4 Pd 2.84-2.88, 4 Tl 2.87-3.02, 1 Sm 2.97
Pd (0.6496, 0.6496, 0.8866)  4 Pd 2.84-2.88, 4 Tl 2.87-3.02, 1 Sm 2.97
Pd (0.1134, 0.8866, 0.5000)  4 Tl 2.72-2.77, 3 Pd 2.76-2.84
Pd (0.3504, 0.3504, 0.1134)  4 Pd 2.84-2.88, 4 Tl 2.87-3.02, 1 Sm 2.97
Tl (0.2863, 0.2863, 0.6987)  8 Pd 2.72-3.02
Tl (0.3013, 0.7137, 0.7137)  8 Pd 2.72-3.02
Tl (0.7137, 0.3013, 0.7137)  8 Pd 2.72-3.02
Tl (0.2863, 0.6987, 0.2863)  8 Pd 2.72-3.02
Tl (0.7137, 0.7137, 0.3013)  8 Pd 2.72-3.02
Tl (0.6987, 0.2863, 0.2863)  8 Pd 2.72-3.02
Sm (0.0000, 0.0000, 0.0000)  6 Pd 2.97

Values from the calculation:
**Crystal system**: trigonal
**V**: 386.6 Å³ per cell
**Space-group type**: R-3m, No. 166
**Formation enthalpy at 0 K**: -0.142 eV/atom
**E**: -4.417 eV/atom

=====

Material: SmTl2Pd9
Method: DFT, PBE
State: relaxed

Cell lengths 4.1183, 4.1183, 12.3525 Å; angles 90.00, 90.00, 90.00 degrees
Closest atoms and distances in Å follow each position.
Element x y z (fractional)
Pd (0.0000, 0.5000, 0.8283)  8 Pd 2.87-2.96, 2 Tl 2.91, 2 Sm 2.96
Pd (0.0000, 0.5000, 0.5000)  4 Tl 2.87, 8 Pd 2.91
Pd (0.0000, 0.5000, 0.1717)  8 Pd 2.87-2.96, 2 Tl 2.91, 2 Sm 2.96
Pd (0.5000, 0.5000, 0.3337)  8 Pd 2.87-2.91, 4 Tl 2.91
Pd (0.5000, 0.0000, 0.8283)  8 Pd 2.87-2.96, 2 Tl 2.91, 2 Sm 2.96
Pd (0.5000, 0.0000, 0.1717)  8 Pd 2.87-2.96, 2 Tl 2.91, 2 Sm 2.96
Pd (0.5000, 0.5000, 0.0000)  4 Sm 2.91, 8 Pd 2.96
Pd (0.5000, 0.0000, 0.5000)  4 Tl 2.87, 8 Pd 2.91
Pd (0.5000, 0.5000, 0.6663)  8 Pd 2.87-2.91, 4 Tl 2.91
Tl (0.0000, 0.0000, 0.6618)  12 Pd 2.87-2.91
Tl (0.0000, 0.0000, 0.3382)  12 Pd 2.87-2.91
Sm (0.0000, 0.0000, 0.0000)  12 Pd 2.91-2.96

Values from the calculation:
**Crystal system**: tetragonal
**V**: 209.5 Å³ per cell
**Space-group type**: P4/mmm, No. 123
**Formation enthalpy at 0 K**: -0.399 eV/atom
**E**: -5.081 eV/atom

=====

Material: Sm5Tl2Pd2
Method: DFT, PBE
State: relaxed

Cell lengths 7.3688, 8.7003, 9.0769 Å; angles 118.64, 90.00, 90.00 degrees
Closest atoms and distances in Å follow each position.
Element x y z (fractional)
Pd (0.8649, 0.3811, 0.0000)  1 Pd 2.87, 5 Sm 2.88-3.06
Pd (0.3649, 0.1189, 0.0000)  1 Pd 2.87, 5 Sm 2.88-3.06
Pd (0.1351, 0.6189, 0.0000)  1 Pd 2.87, 5 Sm 2.88-3.06
Pd (0.6351, 0.8811, 0.0000)  1 Pd 2.87, 5 Sm 2.88-3.06
Sm (0.8481, 0.5578, 0.7537)  3 Pd 2.93-3.27, 1 Tl 3.26
Sm (0.5000, 0.5000, 0.0000)  2 Pd 2.88
Sm (0.3481, 0.9422, 0.2463)  3 Pd 2.93-3.27, 1 Tl 3.26
Sm (0.1519, 0.1958, 0.7537)  3 Pd 2.93-3.27, 1 Tl 3.26
Sm (0.8481, 0.8042, 0.2463)  3 Pd 2.93-3.27, 1 Tl 3.26
Sm (0.6519, 0.0578, 0.7537)  3 Pd 2.93-3.27, 1 Tl 3.26
Sm (0.1519, 0.4422, 0.2463)  3 Pd 2.93-3.27, 1 Tl 3.26
Sm (0.3481, 0.6958, 0.7537)  3 Pd 2.93-3.27, 1 Tl 3.26
Sm (0.6519, 0.3042, 0.2463)  3 Pd 2.93-3.27, 1 Tl 3.26
Sm (0.0000, 0.0000, 0.0000)  2 Pd 2.88
Tl (0.5000, 0.7121, 0.4243)  7 Sm 3.26-3.38
Tl (0.0000, 0.7879, 0.5757)  7 Sm 3.26-3.38
Tl (0.0000, 0.2121, 0.4243)  7 Sm 3.26-3.38
Tl (0.5000, 0.2879, 0.5757)  7 Sm 3.26-3.38

Values from the calculation:
**Crystal system**: orthorhombic
**V**: 510.7 Å³ per cell
**Space-group type**: Cmce, No. 64
**Formation enthalpy at 0 K**: -0.499 eV/atom
**E**: -4.801 eV/atom

=====

Material: SmTlPd2
Method: DFT, PBE
State: relaxed

Cell lengths 4.9036, 4.9036, 4.9036 Å; angles 60.00, 60.00, 60.00 degrees
Closest atoms and distances in Å follow each position.
Element x y z (fractional)
Sm (0.0000, 0.0000, 0.0000)  8 Pd 3.00
Pd (0.2500, 0.2500, 0.2500)  4 Tl 3.00, 4 Sm 3.00
Pd (0.7500, 0.7500, 0.7500)  4 Tl 3.00, 4 Sm 3.00
Tl (0.5000, 0.5000, 0.5000)  8 Pd 3.00

Values from the calculation:
**Crystal system**: cubic
**V**: 83.4 Å³ per cell
**Space-group type**: Fm-3m, No. 225
**Formation enthalpy at 0 K**: -0.603 eV/atom
**E**: -4.971 eV/atom

=====

Material: Sm6TlPd2
Method: DFT, PBE
State: relaxed

Cell lengths 8.7805, 8.7805, 8.7805 Å; angles 104.89, 109.78, 113.86 degrees
Closest atoms and distances in Å follow each position.
Element x y z (fractional)
Sm (0.8019, 0.2358, 0.0377)  1 Pd 2.95, 1 Tl 3.22
Sm (0.3030, 0.6286, 0.3256)  3 Pd 2.82-3.06
Sm (0.1981, 0.7642, 0.9623)  1 Pd 2.95, 1 Tl 3.22
Sm (0.1981, 0.2358, 0.4340)  1 Pd 2.95, 1 Tl 3.22
Sm (0.1073, 0.2907, 0.8166)  3 Pd 3.06-3.25, 1 Tl 3.34
Sm (0.6970, 0.0226, 0.3256)  3 Pd 2.82-3.06
Sm (0.8927, 0.7093, 0.1834)  3 Pd 3.06-3.25, 1 Tl 3.34
Sm (0.5260, 0.7093, 0.8166)  3 Pd 3.06-3.25, 1 Tl 3.34
Sm (0.6970, 0.3714, 0.6744)  3 Pd 2.82-3.06
Sm (0.3030, 0.9774, 0.6744)  3 Pd 2.82-3.06
Sm (0.8019, 0.7642, 0.5660)  1 Pd 2.95, 1 Tl 3.22
Sm (0.4740, 0.2907, 0.1834)  3 Pd 3.06-3.25, 1 Tl 3.34
Pd (0.3492, 0.0000, 0.3492)  8 Sm 2.95-3.25, 1 Pd 3.05
Pd (0.6508, 0.0000, 0.6508)  8 Sm 2.95-3.25, 1 Pd 3.05
Pd (0.5000, 0.6298, 0.1298)  1 Pd 2.78, 6 Sm 2.82-3.06
Pd (0.5000, 0.3702, 0.8702)  1 Pd 2.78, 6 Sm 2.82-3.06
Tl (0.0000, 0.5000, 0.5000)  12 Sm 3.45-3.77
Tl (0.0000, 0.0000, 0.0000)  8 Sm 3.22-3.34, 2 Pd 3.53

Values from the calculation:
**Crystal system**: orthorhombic
**V**: 517.9 Å³ per cell
**Space-group type**: Immm, No. 71
**Formation enthalpy at 0 K**: -0.462 eV/atom
**E**: -5.025 eV/atom

=====

Material: Sm2TlPd8
Method: DFT, PBE
State: relaxed

Cell lengths 4.7215, 6.1515, 8.2159 Å; angles 111.98, 106.70, 90.00 degrees
Closest atoms and distances in Å follow each position.
Element x y z (fractional)
Pd (0.0001, 0.7382, 0.0001)  2 Tl 2.86, 7 Pd 2.93-3.14, 2 Sm 3.09
Pd (0.3569, 0.1234, 0.7138)  1 Tl 2.64, 3 Sm 2.84-2.95, 3 Pd 2.87-2.92
Pd (0.1775, 0.1776, 0.3550)  8 Pd 2.92-3.03, 4 Sm 3.06-3.08
Pd (0.3571, 0.5903, 0.7141)  1 Tl 2.64, 3 Sm 2.84-2.95, 3 Pd 2.87-2.92
Pd (0.6429, 0.4097, 0.2859)  1 Tl 2.64, 3 Sm 2.84-2.95, 3 Pd 2.87-2.92
Pd (0.8225, 0.8224, 0.6450)  8 Pd 2.92-3.03, 4 Sm 3.06-3.08
Pd (0.6431, 0.8766, 0.2862)  1 Tl 2.64, 3 Sm 2.84-2.95, 3 Pd 2.87-2.92
Pd (0.9999, 0.2618, 0.9999)  2 Tl 2.86, 7 Pd 2.93-3.14, 2 Sm 3.09
Sm (0.8121, 0.3122, 0.6242)  12 Pd 2.84-3.09
Sm (0.1879, 0.6878, 0.3758)  12 Pd 2.84-3.09
Tl (0.5000, 0.0000, 0.0000)  8 Pd 2.64-2.86

Values from the calculation:
**Crystal system**: orthorhombic
**V**: 210.4 Å³ per cell
**Space-group type**: Immm, No. 71
**Formation enthalpy at 0 K**: -0.471 eV/atom
**E**: -5.321 eV/atom

=====

Material: Sm6Tl2Pd
Method: DFT, PBE
State: relaxed

Cell lengths 5.0814, 10.1950, 10.1958 Å; angles 90.00, 90.00, 90.00 degrees
Closest atoms and distances in Å follow each position.
Element x y z (fractional)
Sm (0.5001, 0.8158, 0.0224)  3 Tl 3.23-3.35, 1 Pd 3.23, 2 Sm 3.55
Sm (0.0000, 0.0226, 0.1841)  3 Tl 3.23-3.35, 1 Pd 3.23, 2 Sm 3.55
Sm (0.9999, 0.3157, 0.4775)  1 Pd 3.23, 3 Tl 3.23-3.35, 2 Sm 3.55
Sm (0.4999, 0.1842, 0.9776)  3 Tl 3.23-3.35, 1 Pd 3.23, 2 Sm 3.55
Sm (0.9999, 0.3850, 0.1151)  2 Pd 3.03, 1 Sm 3.32
Sm (0.0001, 0.6150, 0.8849)  2 Pd 3.03, 1 Sm 3.32
Sm (0.5000, 0.4774, 0.6842)  3 Tl 3.23-3.35, 1 Pd 3.23, 2 Sm 3.55
Sm (0.0000, 0.9774, 0.8159)  3 Tl 3.23-3.35, 1 Pd 3.23, 2 Sm 3.55
Sm (0.4999, 0.1149, 0.6152)  2 Pd 3.03, 1 Sm 3.32
Sm (0.0001, 0.6843, 0.5225)  1 Pd 3.23, 3 Tl 3.23-3.35, 2 Sm 3.55
Sm (0.5000, 0.5226, 0.3158)  3 Tl 3.23-3.35, 1 Pd 3.23, 2 Sm 3.55
Sm (0.5001, 0.8851, 0.3848)  2 Pd 3.03, 1 Sm 3.32
Tl (0.9999, 0.2931, 0.7933)  9 Sm 3.23-3.61
Tl (0.0001, 0.7069, 0.2067)  9 Sm 3.23-3.61
Tl (0.4999, 0.2068, 0.2933)  10 Sm 3.23-3.61
Tl (0.5001, 0.7932, 0.7067)  10 Sm 3.23-3.61
Pd (0.5000, 0.5000, 0.0000)  8 Sm 3.03-3.23
Pd (0.0000, 0.0000, 0.5000)  8 Sm 3.03-3.23

Values from the calculation:
**Crystal system**: tetragonal
**V**: 528.2 Å³ per cell
**Space-group type**: P4_2/mnm, No. 136
**Formation enthalpy at 0 K**: -0.309 eV/atom
**E**: -4.558 eV/atom
**Energy above the most stable polymorph in this dataset**: 49.8 meV/atom